1.
MgIn2Br: relaxed, PBE-GGA.

Structure (POSCAR):
```
MgIn2Br
1.0
-1.007 1.527 2.942
1.889 -2.859 0.509
8.619 5.693 -0.004
In Mg Br
2 1 1
Direct
0.000 0.000 0.025
0.500 0.500 0.282
0.000 0.000 0.512
0.500 0.500 0.681
```

Values from the calculation:
Calculated total energy   -10.118 eV for the cell shown
ρ   4.9 g/cm³
Crystal system   orthorhombic
Raw formation energy   -344 meV/atom

***

2.
MgInBr2: relaxed, PBE-GGA.

Structure (POSCAR):
```
MgInBr2
1.0
5.051 -1.952 -0.584
1.427 -4.643 2.463
0.858 -4.496 -2.951
Mg Br In
1 2 1
Direct
0.000 0.000 0.000
0.750 0.750 0.750
0.250 0.250 0.250
0.500 0.500 0.500
```

Values from the calculation:
Calculated total energy   -9.629 eV for the cell shown
ρ   4.3 g/cm³
Crystal system   cubic
Raw formation energy   -488 meV/atom

***

3.
Mg2InBr: relaxed, PBE-GGA.

Structure (POSCAR):
```
Mg2InBr
1.0
-4.106 2.376 -2.711
-2.167 -2.141 1.407
-0.732 3.475 4.153
Br Mg In
1 2 1
Direct
0.000 0.273 0.376
0.000 0.239 0.875
0.500 0.241 0.374
0.500 0.747 0.875
```

Values from the calculation:
Calculated total energy   -9.020 eV for the cell shown
ρ   4.0 g/cm³
Crystal system   monoclinic
Raw formation energy   -355 meV/atom

***

4.
MgInBr2: relaxed, PBE-GGA.

Structure (POSCAR):
```
MgInBr2
1.0
3.812 -0.018 0.000
-1.990 3.251 0.000
0.000 0.000 10.502
In Br Mg
1 2 1
Direct
0.500 0.500 0.250
0.000 0.000 0.580
0.000 0.000 0.920
0.500 0.500 0.750
```

Values from the calculation:
Calculated total energy   -10.637 eV for the cell shown
ρ   3.8 g/cm³
Crystal system   orthorhombic
Raw formation energy   -740 meV/atom

***

5.
MgIn2Br: relaxed, PBE-GGA.

Structure (POSCAR):
```
MgIn2Br
1.0
-3.629 -5.801 -1.116
4.075 -3.407 4.456
-3.983 -2.955 6.777
Br In Mg
2 4 2
Direct
0.750 0.250 0.500
0.000 0.000 0.000
0.611 0.125 0.250
0.375 0.389 0.750
0.139 0.625 0.250
0.875 0.861 0.750
0.250 0.750 0.500
0.500 0.500 0.000
```

Values from the calculation:
Calculated total energy   -16.989 eV for the cell shown
ρ   3.4 g/cm³
Crystal system   tetragonal
Raw formation energy   62 meV/atom

***

6.
MgInBr4: relaxed, PBE-GGA.

Structure (POSCAR):
```
MgInBr4
1.0
-2.604 1.068 2.858
-5.333 -3.022 -3.728
2.326 -12.070 6.631
Br In Mg
8 2 2
Direct
0.500 0.146 0.391
0.500 0.197 0.885
0.000 0.697 0.385
0.500 0.854 0.609
0.500 0.803 0.115
0.000 0.354 0.109
0.000 0.303 0.615
0.000 0.646 0.891
0.000 0.000 0.000
0.500 0.500 0.500
0.500 0.500 0.000
0.000 0.000 0.500
```

Values from the calculation:
Calculated total energy   -34.460 eV for the cell shown
ρ   3.8 g/cm³
Crystal system   monoclinic
Raw formation energy   -1034 meV/atom

***

7.
MgIn2Br: relaxed, PBE-GGA.

Structure (POSCAR):
```
MgIn2Br
1.0
3.497 -0.003 0.000
-1.379 3.214 0.000
0.000 0.000 9.796
Br Mg In
1 1 2
Direct
0.500 0.500 0.750
0.500 0.500 0.250
0.000 0.000 0.994
0.000 0.000 0.506
```

Values from the calculation:
Calculated total energy   -9.258 eV for the cell shown
ρ   5.0 g/cm³
Crystal system   orthorhombic
Raw formation energy   -128 meV/atom

***

8.
MgInBr2: relaxed, PBE-GGA.

Structure (POSCAR):
```
MgInBr2
1.0
-1.188 4.283 3.268
-5.295 -0.310 -1.518
-0.681 -2.372 2.862
Br Mg In
2 1 1
Direct
0.000 0.000 0.000
0.500 0.500 0.000
0.000 0.500 0.500
0.500 0.000 0.500
```

Values from the calculation:
Calculated total energy   -9.602 eV for the cell shown
ρ   4.3 g/cm³
Crystal system   tetragonal
Raw formation energy   -481 meV/atom

***

- Which formula does entry 5 have?
  MgIn2Br